# PBE BeCu2, relaxed
# DOS at the Fermi energy   1.537 states/eV/cell
# Space group   P4/mmm, No. 123
data_BeCu2
_cell_length_a 3.816
_cell_length_b 3.816
_cell_length_c 2.471
_cell_angle_alpha 90.00
_cell_angle_beta 90.00
_cell_angle_gamma 90.00
_space_group_name_H-M_alt 'P 1'
_space_group_IT_number 1
loop_
_space_group_symop_operation_xyz
'x,y,z'
loop_
_atom_site_label
_atom_site_fract_x
_atom_site_fract_y
_atom_site_fract_z
Be1 0.000 0.000 0.000
Cu1 0.000 0.500 0.500
Cu2 0.500 0.000 0.500

# PBE InNi2Rh, relaxed
# DOS at the Fermi energy   6.099 states/eV/cell
# Space group   Pm, No. 6
data_InNi2Rh
_cell_length_a 2.799
_cell_length_b 4.114
_cell_length_c 5.118
_cell_angle_alpha 90.00
_cell_angle_beta 105.76
_cell_angle_gamma 90.00
_space_group_name_H-M_alt 'P 1'
_space_group_IT_number 1
loop_
_space_group_symop_operation_xyz
'x,y,z'
loop_
_atom_site_label
_atom_site_fract_x
_atom_site_fract_y
_atom_site_fract_z
In1 0.000 0.000 0.000
Ni1 0.609 0.500 0.218
Ni2 0.737 0.000 0.480
Rh1 0.335 0.500 0.673

# PBE NaHf3Pb, relaxed
# DOS at the Fermi energy   6.498 states/eV/cell
# Space group   Pm-3m, No. 221
data_NaHf3Pb
_cell_length_a 4.997
_cell_length_b 4.997
_cell_length_c 4.997
_cell_angle_alpha 90.00
_cell_angle_beta 90.00
_cell_angle_gamma 90.00
_space_group_name_H-M_alt 'P 1'
_space_group_IT_number 1
loop_
_space_group_symop_operation_xyz
'x,y,z'
loop_
_atom_site_label
_atom_site_fract_x
_atom_site_fract_y
_atom_site_fract_z
Na1 0.000 0.000 0.000
Hf1 0.000 0.000 0.500
Hf2 0.000 0.500 0.000
Hf3 0.500 0.000 0.000
Pb1 0.500 0.500 0.500

# PBE MnFeCuNi, relaxed
# DOS at the Fermi energy   4.313 states/eV/cell
# Space group   F-43m, No. 216
data_MnFeCuNi
_cell_length_a 4.093
_cell_length_b 4.093
_cell_length_c 4.093
_cell_angle_alpha 60.00
_cell_angle_beta 60.00
_cell_angle_gamma 60.00
_space_group_name_H-M_alt 'P 1'
_space_group_IT_number 1
loop_
_space_group_symop_operation_xyz
'x,y,z'
loop_
_atom_site_label
_atom_site_fract_x
_atom_site_fract_y
_atom_site_fract_z
Mn1 0.000 0.000 0.000
Fe1 0.250 0.250 0.250
Cu1 0.750 0.750 0.750
Ni1 0.500 0.500 0.500

no.,ΔH_f (0 K) (eV per atom)
1,0.178
2,0.015
3,1.397
4,0.143